1.
8
Lattice="9.3561 0.0000 0.0000 0.0000 2.9790 0.0000 -1.6211 0.0000 3.9910" Properties=species:S:1:pos:R:3 comment="LiZn2Ir (PBE, optimized geometry)" mass_density_g_cm3=9.9 e_tot_ev_per_atom=-3.5787 e_form_ev_per_atom=-0.248 total_magnetization_mub_per_cell=0.000 e_above_lowest_polymorph_mev_per_atom=89 pbc="T T T"
Li 0.0000 0.0000 0.0000
Li 4.6780 1.4895 0.0000
Zn 2.0827 1.4895 0.7034
Zn 3.8389 0.0000 2.0506
Zn 6.7607 0.0000 0.7034
Zn 8.5170 1.4895 2.0506
Ir 1.1927 0.0000 2.6688
Ir 5.8707 1.4895 2.6688



2.
16
Lattice="4.3038 0.0000 0.0000 0.0000 4.3038 0.0000 0.0000 0.0000 12.2929" Properties=species:S:1:pos:R:3 comment="Li3Zn4Ir (PBE, optimized geometry)" mass_density_g_cm3=6.9 e_tot_ev_per_atom=-2.7118 e_form_ev_per_atom=-0.250 total_magnetization_mub_per_cell=0.000 pbc="T T T"
Li 0.0000 0.0000 0.0000
Li 0.0000 0.0000 3.2008
Li 0.0000 0.0000 9.0921
Li 2.1519 2.1519 2.9456
Li 2.1519 2.1519 6.1464
Li 2.1519 2.1519 9.3472
Zn 0.0000 2.1519 1.4876
Zn 0.0000 2.1519 4.6588
Zn 0.0000 2.1519 7.6340
Zn 0.0000 2.1519 10.8053
Zn 2.1519 0.0000 1.4876
Zn 2.1519 0.0000 4.6588
Zn 2.1519 0.0000 7.6340
Zn 2.1519 0.0000 10.8053
Ir 0.0000 0.0000 6.1464
Ir 2.1519 2.1519 0.0000



3.
4
Lattice="2.5653 0.0000 0.0000 0.0000 4.1933 0.0000 -1.2331 0.0000 5.1536" Properties=species:S:1:pos:R:3 comment="Li2ZnIr (PBE, optimized geometry)" mass_density_g_cm3=8.1 e_tot_ev_per_atom=-3.6700 e_form_ev_per_atom=-0.179 total_magnetization_mub_per_cell=0.000 pbc="T T T"
Li 0.0000 0.0000 0.0000
Li -0.7823 2.0967 3.8616
Zn 1.4921 2.0967 1.3730
Ir 0.3406 0.0000 2.6167



4.
16
Lattice="5.3485 0.0000 0.0000 0.0000 10.4896 0.0000 0.0000 0.0000 4.2124" Properties=species:S:1:pos:R:3 comment="Li5Zn2Ir (PBE, optimized geometry)" mass_density_g_cm3=5.0 e_tot_ev_per_atom=-2.7980 e_form_ev_per_atom=-0.176 total_magnetization_mub_per_cell=0.000 pbc="T T T"
Li 0.0000 0.0000 0.0000
Li 0.5753 2.6019 0.0000
Li 1.0474 9.1694 2.1062
Li 1.6268 3.9246 2.1062
Li 2.0989 7.8467 0.0000
Li 2.6742 5.2448 0.0000
Li 3.2495 2.6429 0.0000
Li 3.7217 6.5650 2.1062
Li 4.3010 1.3202 2.1062
Li 4.7732 7.8876 0.0000
Zn 0.9181 6.4071 2.1062
Zn 1.7562 1.1623 2.1062
Zn 3.5923 9.3272 2.1062
Zn 4.4304 4.0824 2.1062
Ir 0.0000 5.2448 0.0000
Ir 2.6742 0.0000 0.0000